## MgZr2FeF (GGA+U)

Data for an optimized crystal structure of MgZr2FeF.

The value obtained for the uncorrected energy is -23.626 eV for the cell shown. The mass density is 4.31 Mg/m³.

The structure belongs to space group P4/mmm (No. 123); the cell edges are 5.5238, 5.5238 and 3.5533 Å and the angles 90.00°, 90.00° and 90.00°. The distinct sites, in fractional coordinates, are Mg at (0.0000, 0.0000, 0.0000), Zr at (0.0000, 0.5000, 0.0000), Fe at (0.5000, 0.5000, 0.5000) and F at (0.0000, 0.0000, 0.5000).